[1]
A plane-wave DFT calculation with PBE was carried out for a geometry-optimized HfZrCl3 structure.

Unit cell a=4.962 b=4.962 c=4.962 alpha=90.00 beta=90.00 gamma=90.00
Space group Pm-3m (No. 221)
Inequivalent atoms, fractional coordinates:
Hf: 0.000 0.000 0.000 [1 per cell]
Zr: 0.500 0.500 0.500 [1 per cell]
Cl: 0.000 0.000 0.500 [3 per cell]

Summary:
Formation energy (no corrections) (eV/atom): -0.1757
VASP energy (eV per cell): -24.9

---

[2]
A plane-wave DFT calculation with PBE was carried out for a geometry-optimized Hf2ZrCl structure.

Unit cell a=7.011 b=7.011 c=7.011 alpha=90.00 beta=90.00 gamma=90.00
Space group Fm-3m (No. 225)
Inequivalent atoms, fractional coordinates:
Hf: 0.250 0.250 0.250 [8 per cell]
Zr: 0.000 0.000 0.000 [4 per cell]
Cl: 0.000 0.000 0.500 [4 per cell]

Summary:
Formation energy (no corrections) (eV/atom): 0.4604
VASP energy (eV per cell): -113.8